First-principles (GGA-PBE) data for a relaxed structure of PmDy2Sc3S6, as listed in Alexandria.

Calculated values
Raw formation energy ... -1.924 eV per atom
Uncorrected energy ... -6.73 eV/atom
Space group ... C2/m (12)

Cell: 3.8050 7.6896 8.5473 Å, 103.35 102.86 90.00°
Positions (direct):
Pm1 0.5000 0.0000 0.0000
Dy1 0.8342 0.6687 0.6684
Dy2 0.1658 0.3313 0.3316
Sc1 0.5000 0.5000 0.0000
Sc2 0.8351 0.1659 0.6703
Sc3 0.1649 0.8341 0.3297
S1 0.3263 0.9236 0.6526
S2 0.6636 0.5918 0.3273
S3 0.6737 0.0764 0.3474
S4 0.9967 0.2674 0.9934
S5 0.0033 0.7326 0.0066
S6 0.3364 0.4082 0.6727